[1]
Compound: ZnSeIBr2
Source: the Alexandria database
Functional: GGA-PBE
Structure: optimized geometry

Unit cell a=4.803 b=4.803 c=6.516 alpha=90.00 beta=90.00 gamma=90.00
Element x y z (fractional)
Zn 0.000 0.000 0.000
Se 0.000 0.000 0.500
I 0.500 0.500 0.500
Br 0.000 0.500 0.000
Br 0.500 0.000 0.000

Output
**E**: -1.88 eV per atom
**E_form (uncorrected)**: 0.05 eV/atom


[2]
Compound: ZrSe2IBr
Source: the Alexandria database
Functional: GGA-PBE
Structure: optimized geometry

Unit cell a=5.449 b=5.449 c=5.473 alpha=90.00 beta=90.00 gamma=90.00
Element x y z (fractional)
Zr 0.000 0.000 0.000
Se 0.000 0.500 0.500
Se 0.500 0.000 0.500
I 0.500 0.500 0.500
Br 0.500 0.500 0.000

Output
**E**: -2.92 eV per atom
**E_form (uncorrected)**: 0.83 eV/atom


Looking at total magnetic moment for the records above, in order, we have 0.00; 2.09 μB/cell.